Here is a relaxed PrSm2Dy crystal from Alexandria. Energies are from PBE.

The value obtained for the total energy is -4.69 eV/atom. The calculation puts the density of states at the Fermi level at 11.6 states/eV per cell. The value obtained for the formation energy is 0.06 eV/f.u. The energy relative to the lowest polymorph listed for this composition comes out at 0.0000 eV per atom. Its mass density is 7.4 Mg/m³.

The structure belongs to space group I-4m2 (No. 119); the cell edges are 5.142, 5.142 and 10.229 Å and the angles 90.00°, 90.00° and 90.00°. The asymmetric unit holds Pr at (0.000, 0.000, 0.000), Sm at (0.000, 0.000, 0.500), Sm at (0.000, 0.500, 0.250) and Dy at (0.000, 0.500, 0.750).